VASP calculation (GGA-PBE) on a geometry-optimized AcScBe2Pt5 structure.

Formation energy from the elements = -0.80 eV per atom
Fermi-level density of states = 0.37 states/eV/atom
Size of the total moment = 0.000 μB/f.u.

Cell lengths 4.160, 4.160, 9.737 Å; angles 90.00, 90.00, 90.00 degrees
Fractional positions:
Be: 0.500 0.500 0.271
Pt: 0.500 0.000 0.186
Pt: 0.000 0.500 0.186
Sc: 0.000 0.000 0.000
Be: 0.500 0.500 0.729
Pt: 0.500 0.500 0.500
Pt: 0.500 0.000 0.814
Pt: 0.000 0.500 0.814
Ac: 0.000 0.000 0.500